Density functional theory data (PBE) for an optimized crystal structure of CdCu2.

Cell and atoms, written as CIF:
```
data_CdCu2
_chemical_formula_sum 'Cd2 Cu4'
_space_group_name_H-M_alt 'P 1'
_space_group_IT_number 1
_cell_length_a 3.7511
_cell_length_b 3.7511
_cell_length_c 6.6803
_cell_angle_alpha 90.00
_cell_angle_beta 90.00
_cell_angle_gamma 90.00
loop_
_space_group_symop_operation_xyz
'x,y,z'
loop_
_atom_site_label
_atom_site_fract_x
_atom_site_fract_y
_atom_site_fract_z
Cd1 0.2500 0.2500 0.1640
Cd2 0.7500 0.7500 0.8360
Cu1 0.2500 0.2500 0.7515
Cu2 0.2500 0.7500 0.5000
Cu3 0.7500 0.2500 0.5000
Cu4 0.7500 0.7500 0.2485
```

Values from the calculation:
* symmetry: No. 129
* M_tot: 0.000 μB/atom
* energy of formation: 0.11 eV/atom
* total energy: -2.9285 eV/atom

=====

Density functional theory data (PBE) for an optimized crystal structure of CdCu2.

Cell and atoms, written as CIF:
```
data_CdCu2
_chemical_formula_sum 'Cd1 Cu2'
_space_group_name_H-M_alt 'P 1'
_space_group_IT_number 1
_cell_length_a 3.5883
_cell_length_b 3.5883
_cell_length_c 5.0613
_cell_angle_alpha 90.00
_cell_angle_beta 90.00
_cell_angle_gamma 90.00
loop_
_space_group_symop_operation_xyz
'x,y,z'
loop_
_atom_site_label
_atom_site_fract_x
_atom_site_fract_y
_atom_site_fract_z
Cd1 0.0000 0.0000 0.0000
Cu1 0.0000 0.0000 0.5000
Cu2 0.5000 0.5000 0.0000
```

Values from the calculation:
* symmetry: No. 123
* M_tot: 0.000 μB/atom
* energy of formation: 0.82 eV/atom
* total energy: -2.2115 eV/atom

=====

Density functional theory data (PBE) for an optimized crystal structure of CdCu2.

Cell and atoms, written as CIF:
```
data_CdCu2
_chemical_formula_sum 'Cd2 Cu4'
_space_group_name_H-M_alt 'P 1'
_space_group_IT_number 1
_cell_length_a 6.3135
_cell_length_b 6.3135
_cell_length_c 4.0390
_cell_angle_alpha 90.00
_cell_angle_beta 90.00
_cell_angle_gamma 146.09
loop_
_space_group_symop_operation_xyz
'x,y,z'
loop_
_atom_site_label
_atom_site_fract_x
_atom_site_fract_y
_atom_site_fract_z
Cd1 0.0877 0.9123 0.7500
Cd2 0.9123 0.0877 0.2500
Cu1 0.2476 0.7524 0.2500
Cu2 0.4007 0.5993 0.7500
Cu3 0.5993 0.4007 0.2500
Cu4 0.7524 0.2476 0.7500
```

Values from the calculation:
* symmetry: No. 63
* M_tot: 0.000 μB/atom
* energy of formation: 0.07 eV/atom
* total energy: -2.9672 eV/atom

=====

Density functional theory data (PBE) for an optimized crystal structure of Cd4Cu.

Cell and atoms, written as CIF:
```
data_Cd4Cu
_chemical_formula_sum 'Cd4 Cu1'
_space_group_name_H-M_alt 'P 1'
_space_group_IT_number 1
_cell_length_a 5.0537
_cell_length_b 5.0537
_cell_length_c 5.0537
_cell_angle_alpha 90.00
_cell_angle_beta 90.00
_cell_angle_gamma 90.00
loop_
_space_group_symop_operation_xyz
'x,y,z'
loop_
_atom_site_label
_atom_site_fract_x
_atom_site_fract_y
_atom_site_fract_z
Cd1 0.0000 0.0000 0.0000
Cd2 0.0000 0.5000 0.5000
Cd3 0.5000 0.0000 0.5000
Cd4 0.5000 0.5000 0.0000
Cu1 0.5000 0.5000 0.5000
```

Values from the calculation:
* symmetry: No. 221
* M_tot: 0.000 μB/atom
* energy of formation: 0.22 eV/atom
* total energy: -1.3314 eV/atom

=====

Density functional theory data (PBE) for an optimized crystal structure of CdCu2.

Cell and atoms, written as CIF:
```
data_CdCu2
_chemical_formula_sum 'Cd4 Cu8'
_space_group_name_H-M_alt 'P 1'
_space_group_IT_number 1
_cell_length_a 12.1924
_cell_length_b 12.1924
_cell_length_c 12.1924
_cell_angle_alpha 161.64
_cell_angle_beta 161.64
_cell_angle_gamma 26.08
loop_
_space_group_symop_operation_xyz
'x,y,z'
loop_
_atom_site_label
_atom_site_fract_x
_atom_site_fract_y
_atom_site_fract_z
Cd1 0.2945 0.5445 0.7500
Cd2 0.4555 0.7055 0.7500
Cd3 0.5445 0.2945 0.2500
Cd4 0.7055 0.4555 0.2500
Cu1 0.0492 0.7992 0.2500
Cu2 0.1249 0.3749 0.7500
Cu3 0.2008 0.9508 0.2500
Cu4 0.3749 0.1249 0.2500
Cu5 0.6251 0.8751 0.7500
Cu6 0.7992 0.0492 0.7500
Cu7 0.8751 0.6251 0.2500
Cu8 0.9508 0.2008 0.7500
```

Values from the calculation:
* symmetry: No. 141
* M_tot: 0.000 μB/atom
* energy of formation: 0.07 eV/atom
* total energy: -2.9696 eV/atom

=====

Density functional theory data (PBE) for an optimized crystal structure of CdCu2.

Cell and atoms, written as CIF:
```
data_CdCu2
_chemical_formula_sum 'Cd1 Cu2'
_space_group_name_H-M_alt 'P 1'
_space_group_IT_number 1
_cell_length_a 4.0245
_cell_length_b 4.0245
_cell_length_c 4.8512
_cell_angle_alpha 90.00
_cell_angle_beta 90.00
_cell_angle_gamma 120.00
loop_
_space_group_symop_operation_xyz
'x,y,z'
loop_
_atom_site_label
_atom_site_fract_x
_atom_site_fract_y
_atom_site_fract_z
Cd1 0.0000 0.0000 0.0000
Cu1 0.6667 0.3333 0.2581
Cu2 0.6667 0.3333 0.7419
```

Values from the calculation:
* symmetry: No. 187
* M_tot: 0.000 μB/atom
* energy of formation: 0.66 eV/atom
* total energy: -2.3740 eV/atom

=====

Density functional theory data (PBE) for an optimized crystal structure of CdCu2.

Cell and atoms, written as CIF:
```
data_CdCu2
_chemical_formula_sum 'Cd2 Cu4'
_space_group_name_H-M_alt 'P 1'
_space_group_IT_number 1
_cell_length_a 8.3937
_cell_length_b 8.3937
_cell_length_c 4.0163
_cell_angle_alpha 90.00
_cell_angle_beta 90.00
_cell_angle_gamma 160.07
loop_
_space_group_symop_operation_xyz
'x,y,z'
loop_
_atom_site_label
_atom_site_fract_x
_atom_site_fract_y
_atom_site_fract_z
Cd1 0.1938 0.8062 0.7500
Cd2 0.8062 0.1938 0.2500
Cu1 0.0723 0.9277 0.2500
Cu2 0.4481 0.5519 0.2500
Cu3 0.5519 0.4481 0.7500
Cu4 0.9277 0.0723 0.7500
```

Values from the calculation:
* symmetry: No. 63
* M_tot: 0.000 μB/atom
* energy of formation: 0.10 eV/atom
* total energy: -2.9351 eV/atom

=====

Density functional theory data (PBE) for an optimized crystal structure of Cd17Cu12.

Cell and atoms, written as CIF:
```
data_Cd17Cu12
_chemical_formula_sum 'Cd17 Cu12'
_space_group_name_H-M_alt 'P 1'
_space_group_IT_number 1
_cell_length_a 8.7118
_cell_length_b 8.7118
_cell_length_c 8.7118
_cell_angle_alpha 109.47
_cell_angle_beta 109.47
_cell_angle_gamma 109.47
loop_
_space_group_symop_operation_xyz
'x,y,z'
loop_
_atom_site_label
_atom_site_fract_x
_atom_site_fract_y
_atom_site_fract_z
Cd1 0.0000 0.0000 0.0000
Cd2 0.0000 0.0000 0.3328
Cd3 0.0000 0.3101 0.5928
Cd4 0.0000 0.3328 0.0000
Cd5 0.0000 0.5928 0.3101
Cd6 0.2827 0.6899 0.6899
Cd7 0.3101 0.0000 0.5928
Cd8 0.3101 0.5928 0.0000
Cd9 0.3328 0.0000 0.0000
Cd10 0.4072 0.4072 0.7173
Cd11 0.4072 0.7173 0.4072
Cd12 0.5928 0.0000 0.3101
Cd13 0.5928 0.3101 0.0000
Cd14 0.6672 0.6672 0.6672
Cd15 0.6899 0.2827 0.6899
Cd16 0.6899 0.6899 0.2827
Cd17 0.7173 0.4072 0.4072
Cu1 0.0000 0.6383 0.8192
Cu2 0.0000 0.8192 0.6383
Cu3 0.1808 0.1808 0.8192
Cu4 0.1808 0.3617 0.3617
Cu5 0.1808 0.8192 0.1808
Cu6 0.3617 0.1808 0.3617
Cu7 0.3617 0.3617 0.1808
Cu8 0.6383 0.0000 0.8192
Cu9 0.6383 0.8192 0.0000
Cu10 0.8192 0.0000 0.6383
Cu11 0.8192 0.1808 0.1808
Cu12 0.8192 0.6383 0.0000
```

Values from the calculation:
* symmetry: No. 217
* M_tot: 0.000 μB/atom
* energy of formation: 0.08 eV/atom
* total energy: -2.1530 eV/atom

=====

Density functional theory data (PBE) for an optimized crystal structure of Cd3Cu4.

Cell and atoms, written as CIF:
```
data_Cd3Cu4
_chemical_formula_sum 'Cd3 Cu4'
_space_group_name_H-M_alt 'P 1'
_space_group_IT_number 1
_cell_length_a 5.2190
_cell_length_b 5.2190
_cell_length_c 5.2190
_cell_angle_alpha 90.00
_cell_angle_beta 90.00
_cell_angle_gamma 90.00
loop_
_space_group_symop_operation_xyz
'x,y,z'
loop_
_atom_site_label
_atom_site_fract_x
_atom_site_fract_y
_atom_site_fract_z
Cd1 0.0000 0.0000 0.5000
Cd2 0.0000 0.5000 0.0000
Cd3 0.5000 0.0000 0.0000
Cu1 0.0000 0.0000 0.0000
Cu2 0.0000 0.5000 0.5000
Cu3 0.5000 0.0000 0.5000
Cu4 0.5000 0.5000 0.0000
```

Values from the calculation:
* symmetry: No. 221
* offset from the most stable computed form: 495 meV/atom
* M_tot: 0.000 μB/atom
* energy of formation: 0.55 eV/atom
* total energy: -2.1855 eV/atom

=====

Density functional theory data (PBE) for an optimized crystal structure of Cd4Cu.

Cell and atoms, written as CIF:
```
data_Cd4Cu
_chemical_formula_sum 'Cd8 Cu2'
_space_group_name_H-M_alt 'P 1'
_space_group_IT_number 1
_cell_length_a 6.0397
_cell_length_b 6.0397
_cell_length_c 5.8867
_cell_angle_alpha 90.00
_cell_angle_beta 90.00
_cell_angle_gamma 90.00
loop_
_space_group_symop_operation_xyz
'x,y,z'
loop_
_atom_site_label
_atom_site_fract_x
_atom_site_fract_y
_atom_site_fract_z
Cd1 0.0736 0.5736 0.2337
Cd2 0.0736 0.9264 0.7663
Cd3 0.4264 0.5736 0.7663
Cd4 0.4264 0.9264 0.2337
Cd5 0.5736 0.0736 0.7663
Cd6 0.5736 0.4264 0.2337
Cd7 0.9264 0.0736 0.2337
Cd8 0.9264 0.4264 0.7663
Cu1 0.2500 0.2500 0.5000
Cu2 0.7500 0.7500 0.5000
```

Values from the calculation:
* symmetry: No. 125
* M_tot: 0.000 μB/atom
* energy of formation: 0.08 eV/atom
* total energy: -1.4669 eV/atom

=====

Density functional theory data (PBE) for an optimized crystal structure of Cd15Cu.

Cell and atoms, written as CIF:
```
data_Cd15Cu
_chemical_formula_sum 'Cd15 Cu1'
_space_group_name_H-M_alt 'P 1'
_space_group_IT_number 1
_cell_length_a 6.1137
_cell_length_b 6.1137
_cell_length_c 10.6943
_cell_angle_alpha 90.00
_cell_angle_beta 90.00
_cell_angle_gamma 120.00
loop_
_space_group_symop_operation_xyz
'x,y,z'
loop_
_atom_site_label
_atom_site_fract_x
_atom_site_fract_y
_atom_site_fract_z
Cd1 0.0000 0.0000 0.0000
Cd2 0.0037 0.5019 0.5000
Cd3 0.3287 0.1644 0.2626
Cd4 0.3287 0.1644 0.7374
Cd5 0.3333 0.6667 0.2437
Cd6 0.3333 0.6667 0.7563
Cd7 0.4981 0.5019 0.5000
Cd8 0.4981 0.9963 0.5000
Cd9 0.5020 0.0039 0.0000
Cd10 0.5020 0.4980 0.0000
Cd11 0.8356 0.1644 0.2626
Cd12 0.8356 0.1644 0.7374
Cd13 0.8356 0.6713 0.2626
Cd14 0.8356 0.6713 0.7374
Cd15 0.9961 0.4980 0.0000
Cu1 0.0000 0.0000 0.5000
```

Values from the calculation:
* symmetry: No. 187
* M_tot: 0.000 μB/atom
* energy of formation: 0.02 eV/atom
* total energy: -1.0938 eV/atom

=====

- What is the energy of formation in the ninth record?
  0.55 eV/atom

=====

Please write out number 1 again, unchanged.
Density functional theory data (PBE) for an optimized crystal structure of CdCu2.

Cell and atoms, written as CIF:
```
data_CdCu2
_chemical_formula_sum 'Cd2 Cu4'
_space_group_name_H-M_alt 'P 1'
_space_group_IT_number 1
_cell_length_a 3.7511
_cell_length_b 3.7511
_cell_length_c 6.6803
_cell_angle_alpha 90.00
_cell_angle_beta 90.00
_cell_angle_gamma 90.00
loop_
_space_group_symop_operation_xyz
'x,y,z'
loop_
_atom_site_label
_atom_site_fract_x
_atom_site_fract_y
_atom_site_fract_z
Cd1 0.2500 0.2500 0.1640
Cd2 0.7500 0.7500 0.8360
Cu1 0.2500 0.2500 0.7515
Cu2 0.2500 0.7500 0.5000
Cu3 0.7500 0.2500 0.5000
Cu4 0.7500 0.7500 0.2485
```

Values from the calculation:
* symmetry: No. 129
* M_tot: 0.000 μB/atom
* energy of formation: 0.11 eV/atom
* total energy: -2.9285 eV/atom

=====

- The highest energy of formation belongs to which entry?
  number 2